1.
Entry from Alexandria via LeMat-Bulk: a geometry-optimized CsSrCd2 structure (PBE).

The polymorph energy (0 for the lowest one) is 98 meV/atom. Its formation energy is -0.02 eV per atom.

It has space group Fm-3m (No. 225), with a = 8.6528 Å, b = 8.6528 Å, c = 8.6528 Å, α = 90.00°, β = 90.00° and γ = 90.00°. The distinct sites, in fractional coordinates, are Cs at (0.0000, 0.0000, 0.0000), Sr at (0.0000, 0.0000, 0.5000) and Cd at (0.2500, 0.2500, 0.2500).



2.
Entry from Alexandria via LeMat-Bulk: a geometry-optimized Re2Se2S structure (PBE).

The value obtained for the formation energy (no corrections) is 655 meV/atom. The polymorph energy (0 for the lowest one) is 581 meV/atom.

It has space group I4/mmm (No. 139), with a = 5.0396 Å, b = 5.0396 Å, c = 7.4453 Å, α = 90.00°, β = 90.00° and γ = 90.00°. The distinct sites, in fractional coordinates, are Re at (0.0000, 0.0000, 0.1530), Se at (0.0000, 0.5000, 0.2500) and S at (0.0000, 0.0000, 0.5000).